1.
# Ca2TlBr2O2

A geometry-optimized Ca2TlBr2O2 structure (PBE-GGA, Alexandria).

The structure in POSCAR format:
```
Ca2TlBr2O2
1.0
6.575 -1.896 0.000
6.575 1.896 0.000
-5.230 0.000 6.611
Ca Tl Br O
2 1 2 2
Direct
0.177 0.177 0.282
0.823 0.823 0.718
0.000 0.000 0.500
0.432 0.432 0.124
0.568 0.568 0.876
0.203 0.203 0.579
0.797 0.797 0.421
```

Calculated values
Its density of states at the Fermi level is 0.2877 states/eV per atom. The value obtained for the total energy is -4.63 eV per atom. As for the formation energy (no corrections): -1.83 eV per atom.

***

2.
# CeFeSiN

A geometry-optimized CeFeSiN structure (PBE-GGA, Alexandria).

The structure in POSCAR format:
```
CeFeSiN
1.0
3.759 0.000 0.000
0.000 3.759 0.000
0.000 0.000 8.185
Ce Fe Si N
2 2 2 2
Direct
0.250 0.250 0.161
0.750 0.750 0.839
0.250 0.750 0.500
0.750 0.250 0.500
0.250 0.250 0.655
0.750 0.750 0.345
0.250 0.250 0.875
0.750 0.750 0.125
```

Calculated values
Its density of states at the Fermi level is 1.0483 states/eV per atom. The value obtained for the total energy is -8.03 eV per atom. As for the formation energy (no corrections): -1.00 eV per atom.

***

3.
# YAlRh3

A geometry-optimized YAlRh3 structure (PBE-GGA, Alexandria).

The structure in POSCAR format:
```
YAlRh3
1.0
4.864 0.000 0.000
0.000 4.864 0.000
0.000 0.000 4.864
Y Al Rh
1 1 3
Direct
0.000 0.000 0.000
0.500 0.500 0.500
0.000 0.000 0.500
0.000 0.500 0.000
0.500 0.000 0.000
```

Calculated values
The value obtained for the formation energy is 1.0737 eV per atom. Its density of states at the Fermi level is 1.3851 states/eV per atom. The value obtained for the total energy is -5.38 eV per atom.

***

4.
# SmFe11Si

A geometry-optimized SmFe11Si structure (PBE-GGA, Alexandria).

The structure in POSCAR format:
```
SmFe11Si
1.0
2.351 -5.974 0.000
2.351 5.974 0.000
-2.320 0.000 5.923
Sm Fe Si
1 11 1
Direct
0.000 0.000 0.000
0.000 0.500 0.000
0.005 0.361 0.364
0.270 0.499 0.772
0.361 0.005 0.364
0.499 0.270 0.772
0.500 0.000 0.000
0.500 0.500 0.500
0.501 0.730 0.228
0.639 0.995 0.636
0.730 0.501 0.228
0.995 0.639 0.636
0.000 0.000 0.500
```

Calculated values
Its density of states at the Fermi level is 1.0155 states/eV per atom. The value obtained for the total energy is -8.04 eV per atom. As for the formation energy (no corrections): -0.10 eV per atom.

***

5.
# Li2NpS3

A geometry-optimized Li2NpS3 structure (PBE-GGA, Alexandria).

The structure in POSCAR format:
```
Li2NpS3
1.0
4.058 -6.301 0.000
4.058 6.301 0.000
0.000 0.000 4.387
Li Np S
4 2 6
Direct
0.201 0.201 0.000
0.201 0.201 0.500
0.799 0.799 0.000
0.799 0.799 0.500
0.248 0.752 0.750
0.752 0.248 0.250
0.108 0.892 0.250
0.162 0.463 0.250
0.463 0.162 0.750
0.537 0.838 0.250
0.838 0.537 0.750
0.892 0.108 0.750
```

Calculated values
Its density of states at the Fermi level is 1.0452 states/eV per atom. The value obtained for the total energy is -5.94 eV per atom. As for the formation energy (no corrections): -1.08 eV per atom.

***

6.
# CeEuSc

A geometry-optimized CeEuSc structure (PBE-GGA, Alexandria).

The structure in POSCAR format:
```
CeEuSc
1.0
-1.750 1.750 7.541
1.750 -1.750 7.541
1.750 1.750 -7.541
Ce Eu Sc
1 1 1
Direct
0.000 0.000 0.000
0.680 0.680 0.000
0.355 0.355 0.000
```

Calculated values
The value obtained for the formation energy is 0.1689 eV per atom. Its density of states at the Fermi level is 2.2139 states/eV per atom. The value obtained for the total energy is -7.34 eV per atom.

***

7.
# LiV3Ag

A geometry-optimized LiV3Ag structure (PBE-GGA, Alexandria).

The structure in POSCAR format:
```
LiV3Ag
1.0
4.180 0.000 0.000
0.000 4.180 0.000
0.000 0.000 4.180
Li V Ag
1 3 1
Direct
0.000 0.000 0.000
0.000 0.000 0.500
0.000 0.500 0.000
0.500 0.000 0.000
0.500 0.500 0.500
```

Calculated values
The value obtained for the formation energy is 1.2380 eV per atom. Its density of states at the Fermi level is 1.3370 states/eV per atom. The value obtained for the total energy is -5.19 eV per atom.

***

8.
# U2Ga5Cu3

A geometry-optimized U2Ga5Cu3 structure (PBE-GGA, Alexandria).

The structure in POSCAR format:
```
U2Ga5Cu3
1.0
4.110 0.000 0.000
0.000 4.110 0.000
0.000 0.000 10.436
U Ga Cu
2 5 3
Direct
0.000 0.000 0.000
0.500 0.500 0.492
0.000 0.000 0.594
0.000 0.500 0.241
0.000 0.500 0.751
0.500 0.000 0.241
0.500 0.000 0.751
0.000 0.000 0.370
0.500 0.500 0.106
0.500 0.500 0.880
```

Calculated values
The value obtained for the formation energy is -0.0985 eV per atom. Its density of states at the Fermi level is 1.7300 states/eV per atom. The value obtained for the total energy is -5.10 eV per atom.

***

9.
# La6Pm8Al

A geometry-optimized La6Pm8Al structure (PBE-GGA, Alexandria).

The structure in POSCAR format:
```
La6Pm8Al
1.0
9.620 0.000 0.000
-4.810 8.331 0.000
0.000 0.000 6.538
La Pm Al
6 8 1
Direct
0.092 0.642 0.182
0.358 0.450 0.182
0.450 0.092 0.818
0.550 0.908 0.182
0.642 0.550 0.818
0.908 0.358 0.818
0.043 0.785 0.695
0.215 0.259 0.695
0.259 0.043 0.305
0.333 0.667 0.663
0.667 0.333 0.337
0.741 0.957 0.695
0.785 0.741 0.305
0.957 0.215 0.305
0.000 0.000 0.000
```

Calculated values
The value obtained for the formation energy is 0.0625 eV per atom. Its density of states at the Fermi level is 1.3343 states/eV per atom. The value obtained for the total energy is -4.69 eV per atom.

***

10.
# Rb4Au2Cl

A geometry-optimized Rb4Au2Cl structure (PBE-GGA, Alexandria).

The structure in POSCAR format:
```
Rb4Au2Cl
1.0
8.327 0.000 0.000
0.000 4.908 0.000
-2.561 0.000 8.362
Rb Au Cl
4 2 1
Direct
0.072 0.000 0.265
0.398 0.500 0.751
0.602 0.500 0.249
0.928 0.000 0.735
0.330 0.000 0.015
0.670 0.000 0.985
0.000 0.500 0.500
```

Calculated values
Its density of states at the Fermi level is 0.4200 states/eV per atom. The value obtained for the total energy is -2.44 eV per atom. As for the formation energy (no corrections): -0.69 eV per atom.

***

11.
# NbCrPt6

A geometry-optimized NbCrPt6 structure (PBE-GGA, Alexandria).

The structure in POSCAR format:
```
NbCrPt6
1.0
3.971 0.000 0.000
0.000 3.971 0.000
0.000 0.000 7.921
Nb Cr Pt
1 1 6
Direct
0.000 0.000 0.000
0.000 0.000 0.500
0.000 0.500 0.248
0.000 0.500 0.752
0.500 0.000 0.248
0.500 0.000 0.752
0.500 0.500 0.000
0.500 0.500 0.500
```

Calculated values
The value obtained for the formation energy is -0.4710 eV per atom. Its density of states at the Fermi level is 0.8045 states/eV per atom. The value obtained for the total energy is -7.46 eV per atom.

***

12.
# MgCo2SnAu

A geometry-optimized MgCo2SnAu structure (PBE-GGA, Alexandria).

The structure in POSCAR format:
```
MgCo2SnAu
1.0
4.821 0.000 0.000
0.000 4.821 0.000
0.000 0.000 5.144
Mg Co Sn Au
1 2 1 1
Direct
0.000 0.000 0.000
0.000 0.500 0.500
0.500 0.000 0.500
0.500 0.500 0.000
0.500 0.500 0.500
```

Calculated values
The value obtained for the formation energy is 0.9776 eV per atom. Its density of states at the Fermi level is 1.9547 states/eV per atom. The value obtained for the total energy is -3.64 eV per atom.

***

13.
# LaNd2Sm5Dy

A geometry-optimized LaNd2Sm5Dy structure (PBE-GGA, Alexandria).

The structure in POSCAR format:
```
LaNd2Sm5Dy
1.0
-4.443 4.443 7.912
4.443 -4.443 7.912
4.443 4.443 -7.912
La Nd Sm Dy
2 4 10 2
Direct
0.250 0.250 0.000
0.750 0.750 0.000
0.118 0.618 0.735
0.382 0.118 0.500
0.618 0.882 0.500
0.882 0.382 0.265
0.000 0.000 0.000
0.071 0.155 0.500
0.155 0.655 0.084
0.345 0.429 0.500
0.429 0.929 0.084
0.500 0.500 0.000
0.571 0.071 0.916
0.655 0.571 0.500
0.845 0.345 0.916
0.929 0.845 0.500
0.250 0.750 0.500
0.750 0.250 0.500
```

Calculated values
The value obtained for the formation energy is 0.2601 eV per atom. Its density of states at the Fermi level is 1.2914 states/eV per atom. The value obtained for the total energy is -4.48 eV per atom.

***

14.
# AlGa3Re

A geometry-optimized AlGa3Re structure (PBE-GGA, Alexandria).

The structure in POSCAR format:
```
AlGa3Re
1.0
4.874 0.000 0.000
0.000 4.874 0.000
0.000 0.000 4.874
Al Ga Re
1 3 1
Direct
0.000 0.000 0.000
0.000 0.500 0.500
0.500 0.000 0.500
0.500 0.500 0.000
0.500 0.500 0.500
```

Calculated values
The value obtained for the formation energy is 0.3844 eV per atom. Its density of states at the Fermi level is 0.5960 states/eV per atom. The value obtained for the total energy is -4.67 eV per atom.

***

15.
# NiW

A geometry-optimized NiW structure (PBE-GGA, Alexandria).

The structure in POSCAR format:
```
NiW
1.0
4.799 0.000 0.000
0.000 4.799 0.000
0.000 0.000 4.799
Ni W
4 4
Direct
0.101 0.399 0.601
0.399 0.601 0.101
0.601 0.101 0.399
0.899 0.899 0.899
0.098 0.902 0.402
0.402 0.098 0.902
0.598 0.598 0.598
0.902 0.402 0.098
```

Calculated values
The value obtained for the formation energy is 0.2716 eV per atom. Its density of states at the Fermi level is 1.2051 states/eV per atom. The value obtained for the total energy is -9.10 eV per atom.

***

16.
# Tb3Cd2Ag8

A geometry-optimized Tb3Cd2Ag8 structure (PBE-GGA, Alexandria).

The structure in POSCAR format:
```
Tb3Cd2Ag8
1.0
2.762 1.595 10.973
-2.762 1.595 10.973
0.000 -3.190 10.973
Tb Cd Ag
3 2 8
Direct
0.000 0.000 0.000
0.188 0.188 0.188
0.812 0.812 0.812
0.363 0.363 0.363
0.637 0.637 0.637
0.229 0.733 0.733
0.267 0.267 0.771
0.267 0.771 0.267
0.280 0.280 0.280
0.720 0.720 0.720
0.733 0.229 0.733
0.733 0.733 0.229
0.771 0.267 0.267
```

Calculated values
The value obtained for the formation energy is -0.0838 eV per atom. Its density of states at the Fermi level is 0.5847 states/eV per atom. The value obtained for the total energy is -3.05 eV per atom.

***

17.
# ZrInTeF2

A geometry-optimized ZrInTeF2 structure (PBE-GGA, Alexandria).

The structure in POSCAR format:
```
ZrInTeF2
1.0
4.274 0.000 0.000
0.000 4.274 0.000
0.000 0.000 6.480
Zr In Te F
1 1 1 2
Direct
0.000 0.000 0.000
0.500 0.500 0.500
0.500 0.500 0.000
0.000 0.500 0.500
0.500 0.000 0.500
```

Calculated values
Its density of states at the Fermi level is 0.9066 states/eV per atom. The value obtained for the total energy is -4.70 eV per atom. As for the formation energy (no corrections): -1.07 eV per atom.

***

18.
# TaAlOs2

A geometry-optimized TaAlOs2 structure (PBE-GGA, Alexandria).

The structure in POSCAR format:
```
TaAlOs2
1.0
2.812 0.000 0.000
0.000 2.812 0.000
0.000 0.000 7.783
Ta Al Os
1 1 2
Direct
0.000 0.000 0.000
0.500 0.500 0.264
0.000 0.000 0.500
0.500 0.500 0.719
```

Calculated values
The value obtained for the formation energy is -0.1562 eV per atom. Its density of states at the Fermi level is 0.3838 states/eV per atom. The value obtained for the total energy is -9.67 eV per atom.

***

19.
# Ba2TeOs

A geometry-optimized Ba2TeOs structure (PBE-GGA, Alexandria).

The structure in POSCAR format:
```
Ba2TeOs
1.0
-1.882 2.696 6.487
1.882 -2.696 6.487
1.882 2.696 -6.487
Ba Te Os
2 1 1
Direct
0.000 0.000 0.000
0.711 0.211 0.500
0.385 0.385 0.000
0.239 0.739 0.500
```

Calculated values
Its density of states at the Fermi level is 0.4348 states/eV per atom. The value obtained for the total energy is -4.59 eV per atom. As for the formation energy (no corrections): -0.03 eV per atom.

***

20.
# CsIn3Si

A geometry-optimized CsIn3Si structure (PBE-GGA, Alexandria).

The structure in POSCAR format:
```
CsIn3Si
1.0
6.285 0.000 0.000
0.000 6.285 0.000
0.000 0.000 6.285
Cs In Si
1 3 1
Direct
0.000 0.000 0.000
0.000 0.000 0.500
0.000 0.500 0.000
0.500 0.000 0.000
0.500 0.500 0.500
```

Calculated values
Its density of states at the Fermi level is 1.1917 states/eV per atom. The value obtained for the total energy is -1.40 eV per atom. As for the formation energy (no corrections): 1.49 eV per atom.